VASP calculation (PBE) on an optimized crystal structure of Sm3Se3Br.

Summary:
Uncorrected formation energy ... -1840.1 meV/atom

Cell: 4.156 4.156 11.641 Å, 90.00 90.00 90.00°
Space group P4/mmm (No. 123)
Asymmetric unit:
Sm1 0.000 0.000 0.000 (multiplicity 1)
Sm2 0.500 0.500 0.254 (multiplicity 2)
Se1 0.000 0.000 0.258 (multiplicity 2)
Se2 0.500 0.500 0.000 (multiplicity 1)
Br1 0.500 0.500 0.500 (multiplicity 1)

---

VASP calculation (PBE) on an optimized crystal structure of LiTl2VS4.

Summary:
Uncorrected formation energy ... -730.6 meV/atom

Cell: 5.750 12.783 23.121 Å, 90.00 90.00 90.00°
Space group Fddd (No. 70, origin choice 2)
Asymmetric unit:
Li1 0.125 0.125 0.125 (multiplicity 8)
Tl1 0.125 0.125 0.311 (multiplicity 16)
V1 0.125 0.125 0.625 (multiplicity 8)
S1 0.094 0.276 0.822 (multiplicity 32)

---

VASP calculation (PBE) on an optimized crystal structure of Rb2Mo2I.

Summary:
Uncorrected formation energy ... 897.3 meV/atom
E above lowest polymorph ... 0.0 meV per atom

Cell: 10.291 10.291 3.812 Å, 90.00 90.00 90.00°
Space group P4/mbm (No. 127)
Asymmetric unit:
Rb1 0.212 0.288 0.000 (multiplicity 4)
Mo1 0.069 0.569 0.500 (multiplicity 4)
I1 0.000 0.000 0.500 (multiplicity 2)

---

VASP calculation (PBE) on an optimized crystal structure of NaLa2Sc.

Summary:
E above lowest polymorph ... 0.0 meV per atom
ΔE_f ... 0.139 eV/atom

Cell: 3.884 3.884 9.254 Å, 90.00 90.00 90.00°
Space group P4/mmm (No. 123)
Asymmetric unit:
Na1 0.000 0.000 0.000 (multiplicity 1)
La1 0.500 0.500 0.284 (multiplicity 2)
Sc1 0.000 0.000 0.500 (multiplicity 1)

---

VASP calculation (PBE) on an optimized crystal structure of TlSn2Sb.

Summary:
Uncorrected formation energy ... 44.1 meV/atom
E above lowest polymorph ... 0.0 meV per atom

Cell: 4.005 4.005 7.417 Å, 90.00 90.00 90.00°
Space group P4/mmm (No. 123)
Asymmetric unit:
Tl1 0.000 0.000 0.000 (multiplicity 1)
Sn1 0.500 0.500 0.289 (multiplicity 2)
Sb1 0.000 0.000 0.500 (multiplicity 1)

---

VASP calculation (PBE) on an optimized crystal structure of MgCu2Ge.

Summary:
ΔE_f ... -0.051 eV/atom

Cell: 3.928 3.928 3.804 Å, 90.00 90.00 90.00°
Space group P4/mmm (No. 123)
Asymmetric unit:
Mg1 0.000 0.000 0.000 (multiplicity 1)
Cu1 0.000 0.500 0.500 (multiplicity 2)
Ge1 0.500 0.500 0.000 (multiplicity 1)